# Ce8GeTe4S3 | Alexandria via LeMat-Bulk | GGA-PBE | optimized geometry
# SG = R-3m, No. 166
# formation energy (no corrections) = -1538 meV/atom
# DOS(E_F) = 48.665 states/eV/cell
data_Ce8GeTe4S3
_chemical_formula_sum 'Ce8 Ge1 Te4 S3'
_cell_length_a 8.689
_cell_length_b 8.689
_cell_length_c 8.689
_cell_angle_alpha 58.19
_cell_angle_beta 58.19
_cell_angle_gamma 58.19
_symmetry_space_group_name_H-M 'P 1'
_symmetry_Int_Tables_number 1
loop_
_symmetry_equiv_pos_as_xyz
'x,y,z'
loop_
_atom_site_label
_atom_site_type_symbol
_atom_site_fract_x
_atom_site_fract_y
_atom_site_fract_z
Ce1 Ce 0.233 0.742 0.742
Ce2 Ce 0.237 0.237 0.237
Ce3 Ce 0.258 0.258 0.767
Ce4 Ce 0.258 0.767 0.258
Ce5 Ce 0.742 0.233 0.742
Ce6 Ce 0.742 0.742 0.233
Ce7 Ce 0.763 0.763 0.763
Ce8 Ce 0.767 0.258 0.258
Ge1 Ge 0.500 0.500 0.500
Te1 Te 0.000 0.000 0.000
Te2 Te 0.000 0.500 0.500
Te3 Te 0.500 0.000 0.500
Te4 Te 0.500 0.500 0.000
S1 S 0.000 0.000 0.500
S2 S 0.000 0.500 0.000
S3 S 0.500 0.000 0.000